The following is a DFT calculation (GGA-PBE) of a relaxed structure of Rb2TlCdBi2.

Values from the calculation:
Uncorrected energy in eV per atom: -2.4585
Formation enthalpy at 0 K in meV/atom: -295
Space-group type: Ibam, No. 72

Unit cell a=10.072 b=10.072 c=10.072 alpha=136.24 beta=63.42 gamma=136.49
Atoms (fractional coordinates):
Rb (0.166, 0.241, 0.406)
Rb (0.334, 0.741, 0.075)
Rb (0.666, 0.259, 0.925)
Rb (0.834, 0.759, 0.594)
Tl (0.250, 0.250, 0.000)
Tl (0.750, 0.750, 0.000)
Cd (0.250, 0.750, 0.500)
Cd (0.750, 0.250, 0.500)
Bi (0.102, 0.731, 0.833)
Bi (0.398, 0.231, 0.629)
Bi (0.602, 0.769, 0.371)
Bi (0.898, 0.269, 0.167)



The following is a DFT calculation (GGA-PBE) of a relaxed structure of La5TbY.

Values from the calculation:
Uncorrected energy in eV per atom: -4.9449
Formation enthalpy at 0 K in meV/atom: 160
Space-group type: C2/c, No. 15

Unit cell a=9.440 b=9.440 c=9.184 alpha=93.67 beta=93.67 gamma=141.06
Atoms (fractional coordinates):
La (0.019, 0.390, 0.648)
La (0.138, 0.862, 0.750)
La (0.235, 0.542, 0.034)
La (0.390, 0.019, 0.148)
La (0.458, 0.765, 0.466)
La (0.542, 0.235, 0.534)
La (0.610, 0.981, 0.852)
La (0.765, 0.458, 0.966)
La (0.862, 0.138, 0.250)
La (0.981, 0.610, 0.352)
Tb (0.000, 0.000, 0.000)
Tb (0.000, 0.000, 0.500)
Y (0.491, 0.509, 0.750)
Y (0.509, 0.491, 0.250)



The following is a DFT calculation (GGA-PBE) of a relaxed structure of Pm2SiP.

Values from the calculation:
Uncorrected energy in eV per atom: -5.7148
ΔE_f (raw) in eV/atom: -0.631
Space-group type: Fm-3m, No. 225

Unit cell a=7.207 b=7.207 c=7.207 alpha=90.00 beta=90.00 gamma=90.00
Atoms (fractional coordinates):
Pm (0.250, 0.250, 0.250)
Pm (0.250, 0.250, 0.750)
Pm (0.250, 0.750, 0.250)
Pm (0.250, 0.750, 0.750)
Pm (0.750, 0.250, 0.250)
Pm (0.750, 0.250, 0.750)
Pm (0.750, 0.750, 0.250)
Pm (0.750, 0.750, 0.750)
Si (0.000, 0.000, 0.000)
Si (0.000, 0.500, 0.500)
Si (0.500, 0.000, 0.500)
Si (0.500, 0.500, 0.000)
P (0.000, 0.000, 0.500)
P (0.000, 0.500, 0.000)
P (0.500, 0.000, 0.000)
P (0.500, 0.500, 0.500)



The following is a DFT calculation (GGA-PBE) of a relaxed structure of Sr2PaF8.

Values from the calculation:
Uncorrected energy in eV per atom: -6.3978
ΔE_f (raw) in eV/atom: -3.868
Space-group type: C2/m, No. 12

Unit cell a=7.608 b=7.608 c=5.679 alpha=108.39 beta=108.39 gamma=31.41
Atoms (fractional coordinates):
Sr (0.183, 0.183, 0.184)
Sr (0.817, 0.817, 0.816)
Pa (0.500, 0.500, 0.500)
F (0.026, 0.026, 0.310)
F (0.217, 0.217, 0.796)
F (0.352, 0.352, 0.555)
F (0.410, 0.410, 0.100)
F (0.590, 0.590, 0.900)
F (0.648, 0.648, 0.445)
F (0.783, 0.783, 0.204)
F (0.974, 0.974, 0.690)